(1)
Density functional theory data (PBE) for an optimized crystal structure of NaYNiTe3.

Summary:
The symmetry is No. 62. The distance to the lowest polymorph of the same formula is 63 kJ/mol of formula units. For the total moment, the calculation gives 0.267 μB/f.u. The electronic total energy comes out at -4.532 eV per atom.

Unit cell a=8.704 b=4.279 c=17.561 alpha=90.00 beta=90.00 gamma=90.00
Fractional coordinates of all 24 atoms:
Na: 0.086 0.250 0.212
Na: 0.586 0.250 0.288
Na: 0.414 0.750 0.712
Na: 0.914 0.750 0.788
Ni: 0.376 0.750 0.146
Ni: 0.876 0.750 0.354
Ni: 0.124 0.250 0.646
Ni: 0.624 0.250 0.854
Te: 0.132 0.750 0.058
Te: 0.483 0.250 0.089
Te: 0.813 0.750 0.217
Te: 0.313 0.750 0.283
Te: 0.983 0.250 0.411
Te: 0.632 0.750 0.442
Te: 0.368 0.250 0.558
Te: 0.017 0.750 0.589
Te: 0.687 0.250 0.717
Te: 0.187 0.250 0.783
Te: 0.517 0.750 0.911
Te: 0.868 0.250 0.942
Y: 0.744 0.750 0.050
Y: 0.244 0.750 0.450
Y: 0.756 0.250 0.550
Y: 0.256 0.250 0.950



(2)
Density functional theory data (PBE) for an optimized crystal structure of CdBMo.

Summary:
The symmetry is No. 216. The distance to the lowest polymorph of the same formula is 0 kJ/mol of formula units. For the total moment, the calculation gives 1.533 μB/f.u. The electronic total energy comes out at -4.618 eV per atom.

Unit cell a=4.190 b=4.190 c=4.190 alpha=60.00 beta=60.00 gamma=60.00
Fractional coordinates of all 3 atoms:
B: 0.250 0.250 0.250
Cd: 0.750 0.750 0.750
Mo: 0.000 0.000 0.000



(3)
Density functional theory data (PBE) for an optimized crystal structure of NdGdNi.

Summary:
The symmetry is No. 216. The distance to the lowest polymorph of the same formula is 0 kJ/mol of formula units. For the total moment, the calculation gives 0.007 μB/f.u. The calculation puts the formation energy from the elements at -80 meV per atom. The electronic total energy comes out at -5.075 eV per atom.

Unit cell a=4.844 b=4.844 c=4.844 alpha=60.00 beta=60.00 gamma=60.00
Fractional coordinates of all 3 atoms:
Gd: 0.250 0.250 0.250
Nd: 0.750 0.750 0.750
Ni: 0.000 0.000 0.000



(4)
Density functional theory data (PBE) for an optimized crystal structure of Sm3Hf3CoTe2.

Summary:
The symmetry is No. 189. The distance to the lowest polymorph of the same formula is 286 kJ/mol of formula units. For the total moment, the calculation gives 0.023 μB/f.u. The electronic total energy comes out at -6.656 eV per atom.

Unit cell a=8.251 b=8.251 c=3.637 alpha=90.00 beta=90.00 gamma=120.00
Fractional coordinates of all 9 atoms:
Co: 0.000 0.000 0.000
Hf: 0.405 0.000 0.000
Hf: 0.000 0.405 0.000
Hf: 0.595 0.595 0.000
Sm: 0.754 0.000 0.500
Sm: 0.246 0.246 0.500
Sm: 0.000 0.754 0.500
Te: 0.667 0.333 0.500
Te: 0.333 0.667 0.500



(5)
Density functional theory data (PBE) for an optimized crystal structure of Nd2As.

Summary:
The symmetry is No. 227. For the total moment, the calculation gives 2.011 μB/f.u. The electronic total energy comes out at -4.142 eV per atom.

Unit cell a=9.126 b=9.126 c=9.126 alpha=60.00 beta=60.00 gamma=60.00
Fractional coordinates of all 6 atoms:
As: 0.250 0.250 0.250
As: 0.500 0.500 0.500
Nd: 0.375 0.375 0.375
Nd: 0.875 0.375 0.375
Nd: 0.375 0.875 0.375
Nd: 0.375 0.375 0.875



(6)
Density functional theory data (PBE) for an optimized crystal structure of LuZnNiPd.

Summary:
The symmetry is No. 216. The distance to the lowest polymorph of the same formula is 0 kJ/mol of formula units. For the total moment, the calculation gives 0.005 μB/f.u. The calculation puts the formation energy from the elements at -562 meV per atom. The electronic total energy comes out at -4.694 eV per atom.

Unit cell a=4.527 b=4.527 c=4.527 alpha=60.00 beta=60.00 gamma=60.00
Fractional coordinates of all 4 atoms:
Lu: 0.500 0.500 0.500
Ni: 0.750 0.750 0.750
Pd: 0.250 0.250 0.250
Zn: 0.000 0.000 0.000



(7)
Density functional theory data (PBE) for an optimized crystal structure of CdGeAs.

Summary:
The symmetry is No. 62. The electronic total energy comes out at -3.215 eV per atom.

Unit cell a=7.039 b=4.047 c=9.273 alpha=90.00 beta=90.00 gamma=90.00
Fractional coordinates of all 12 atoms:
As: 0.206 0.750 0.109
As: 0.706 0.750 0.391
As: 0.294 0.250 0.609
As: 0.794 0.250 0.891
Cd: 0.513 0.250 0.179
Cd: 0.013 0.250 0.321
Cd: 0.987 0.750 0.679
Cd: 0.487 0.750 0.821
Ge: 0.817 0.750 0.090
Ge: 0.317 0.750 0.410
Ge: 0.683 0.250 0.590
Ge: 0.183 0.250 0.910



(8)
Density functional theory data (PBE) for an optimized crystal structure of Ac3Zn2Sn2.

Summary:
The symmetry is No. 71. For the total moment, the calculation gives 0.181 μB/f.u. The electronic total energy comes out at -3.842 eV per atom.

Unit cell a=10.540 b=10.540 c=10.540 alpha=154.83 beta=153.80 gamma=36.65
Fractional coordinates of all 7 atoms:
Ac: 0.000 0.000 0.000
Ac: 0.817 0.317 0.500
Ac: 0.183 0.683 0.500
Sn: 0.639 0.139 0.500
Sn: 0.361 0.861 0.500
Zn: 0.439 0.439 0.000
Zn: 0.561 0.561 0.000



(9)
Density functional theory data (PBE) for an optimized crystal structure of BeHg2Sb.

Summary:
The symmetry is No. 216. The electronic total energy comes out at -1.546 eV per atom.

Unit cell a=5.035 b=5.035 c=5.035 alpha=60.00 beta=60.00 gamma=60.00
Fractional coordinates of all 4 atoms:
Be: 0.250 0.250 0.250
Hg: 0.000 0.000 0.000
Hg: 0.750 0.750 0.750
Sb: 0.500 0.500 0.500



(10)
Density functional theory data (PBE) for an optimized crystal structure of NaPrAl.

Summary:
The symmetry is No. 216. For the total moment, the calculation gives 0.002 μB/f.u. The electronic total energy comes out at -2.776 eV per atom.

Unit cell a=5.140 b=5.140 c=5.140 alpha=60.00 beta=60.00 gamma=60.00
Fractional coordinates of all 3 atoms:
Al: 0.250 0.250 0.250
Na: 0.750 0.750 0.750
Pr: 0.000 0.000 0.000



(11)
Density functional theory data (PBE) for an optimized crystal structure of SiNi3S4.

Summary:
The symmetry is No. 121. For the total moment, the calculation gives 0.068 μB/f.u. The electronic total energy comes out at -5.234 eV per atom.

Unit cell a=6.223 b=6.223 c=6.223 alpha=131.97 beta=131.97 gamma=70.27
Fractional coordinates of all 8 atoms:
Ni: 0.500 0.500 0.000
Ni: 0.750 0.250 0.500
Ni: 0.250 0.750 0.500
S: 0.877 0.373 0.000
S: 0.373 0.877 0.000
S: 0.123 0.123 0.496
S: 0.627 0.627 0.504
Si: 0.000 0.000 0.000



(12)
Density functional theory data (PBE) for an optimized crystal structure of MoOsPd2.

Summary:
The symmetry is No. 216. The distance to the lowest polymorph of the same formula is 98 kJ/mol of formula units. For the total moment, the calculation gives 0.010 μB/f.u. The calculation puts the formation energy from the elements at 258 meV per atom. The electronic total energy comes out at -7.848 eV per atom.

Unit cell a=4.418 b=4.418 c=4.418 alpha=60.00 beta=60.00 gamma=60.00
Fractional coordinates of all 4 atoms:
Mo: 0.750 0.750 0.750
Os: 0.000 0.000 0.000
Pd: 0.250 0.250 0.250
Pd: 0.500 0.500 0.500



(13)
Density functional theory data (PBE) for an optimized crystal structure of InCuNiMo.

Summary:
The symmetry is No. 216. The distance to the lowest polymorph of the same formula is 56 kJ/mol of formula units. For the total moment, the calculation gives 1.483 μB/f.u. The electronic total energy comes out at -5.336 eV per atom.

Unit cell a=4.400 b=4.400 c=4.400 alpha=60.00 beta=60.00 gamma=60.00
Fractional coordinates of all 4 atoms:
Cu: 0.750 0.750 0.750
In: 0.000 0.000 0.000
Mo: 0.250 0.250 0.250
Ni: 0.500 0.500 0.500



(14)
Density functional theory data (PBE) for an optimized crystal structure of Dy4CI2Br3.

Summary:
The symmetry is No. 12. The distance to the lowest polymorph of the same formula is 0 kJ/mol of formula units. For the total moment, the calculation gives 0.052 μB/f.u. The electronic total energy comes out at -4.869 eV per atom.

Unit cell a=9.479 b=9.479 c=8.186 alpha=101.93 beta=101.93 gamma=23.50
Fractional coordinates of all 10 atoms:
Br: 0.157 0.157 0.334
Br: 0.500 0.500 0.500
Br: 0.843 0.843 0.666
C: 0.500 0.500 0.000
Dy: 0.632 0.632 0.071
Dy: 0.999 0.999 0.200
Dy: 0.001 0.001 0.800
Dy: 0.368 0.368 0.929
I: 0.829 0.829 0.189
I: 0.171 0.171 0.811



(15)
Density functional theory data (PBE) for an optimized crystal structure of LiMgCuBi.

Summary:
The symmetry is No. 216. The distance to the lowest polymorph of the same formula is 0 kJ/mol of formula units. The electronic total energy comes out at -2.903 eV per atom.

Unit cell a=4.763 b=4.763 c=4.763 alpha=60.00 beta=60.00 gamma=60.00
Fractional coordinates of all 4 atoms:
Bi: 0.000 0.000 0.000
Cu: 0.500 0.500 0.500
Li: 0.750 0.750 0.750
Mg: 0.250 0.250 0.250



(16)
Density functional theory data (PBE) for an optimized crystal structure of Si2Os3.

Summary:
The symmetry is No. 127. For the total moment, the calculation gives 0.001 μB/f.u. The electronic total energy comes out at -8.756 eV per atom.

Unit cell a=6.022 b=6.022 c=3.802 alpha=90.00 beta=90.00 gamma=90.00
Fractional coordinates of all 10 atoms:
Os: 0.000 0.000 0.000
Os: 0.500 0.500 0.000
Os: 0.326 0.174 0.500
Os: 0.826 0.326 0.500
Os: 0.174 0.674 0.500
Os: 0.674 0.826 0.500
Si: 0.637 0.137 0.000
Si: 0.137 0.363 0.000
Si: 0.863 0.637 0.000
Si: 0.363 0.863 0.000



(17)
Density functional theory data (PBE) for an optimized crystal structure of Co2I3.

Summary:
The symmetry is No. 167. For the total moment, the calculation gives 5.001 μB/f.u. The electronic total energy comes out at -3.604 eV per atom.

Unit cell a=7.052 b=7.052 c=7.345 alpha=118.69 beta=61.31 gamma=120.00
Fractional coordinates of all 10 atoms:
Co: 0.327 0.673 0.020
Co: 0.173 0.827 0.480
Co: 0.827 0.173 0.520
Co: 0.673 0.327 0.980
I: 0.578 0.750 0.250
I: 0.922 0.422 0.250
I: 0.250 0.078 0.250
I: 0.750 0.922 0.750
I: 0.078 0.578 0.750
I: 0.422 0.250 0.750



(18)
Density functional theory data (PBE) for an optimized crystal structure of Sr2GaCo.

Summary:
The symmetry is No. 216. For the total moment, the calculation gives 1.770 μB/f.u. The electronic total energy comes out at -3.035 eV per atom.

Unit cell a=5.105 b=5.105 c=5.105 alpha=60.00 beta=60.00 gamma=60.00
Fractional coordinates of all 4 atoms:
Co: 0.250 0.250 0.250
Ga: 0.500 0.500 0.500
Sr: 0.000 0.000 0.000
Sr: 0.750 0.750 0.750



(19)
Density functional theory data (PBE) for an optimized crystal structure of ZrGa2Au.

Summary:
The symmetry is No. 216. For the total moment, the calculation gives 0.010 μB/f.u. The electronic total energy comes out at -4.694 eV per atom.

Unit cell a=4.719 b=4.719 c=4.719 alpha=60.00 beta=60.00 gamma=60.00
Fractional coordinates of all 4 atoms:
Au: 0.500 0.500 0.500
Ga: 0.000 0.000 0.000
Ga: 0.250 0.250 0.250
Zr: 0.750 0.750 0.750



(20)
Density functional theory data (PBE) for an optimized crystal structure of Be2AlTc.

Summary:
The symmetry is No. 216. For the total moment, the calculation gives 0.001 μB/f.u. The electronic total energy comes out at -5.372 eV per atom.

Unit cell a=4.044 b=4.044 c=4.044 alpha=60.00 beta=60.00 gamma=60.00
Fractional coordinates of all 4 atoms:
Al: 0.500 0.500 0.500
Be: 0.000 0.000 0.000
Be: 0.750 0.750 0.750
Tc: 0.250 0.250 0.250